MgTeO2, relaxed, DFT GGA-PBEsol; total moment = 0.000 μB per cell; DOS at the Fermi energy = 1.11 states/eV per cell; uncorrected formation energy = -83.87 kJ per mole of atoms
1.0
-3.2005 -1.9052 1.1542
-0.3558 -1.1450 3.7105
-3.4344 3.4693 2.7902
Mg Te O
1 1 2
Direct
0.0000 0.0000 0.0000
0.5000 0.5000 0.5000
0.8782 0.8782 0.3655
0.1218 0.1218 0.6345

=====

Sr2FeOs, relaxed, DFT GGA-PBEsol; total moment = 0.591 μB per cell; E above lowest polymorph = 0.0 kJ/mol of atoms; energy of formation = 0.50 eV/atom; DOS at the Fermi energy = 5.23 states/eV per cell
1.0
-3.2997 -1.2930 -1.7819
1.3862 -4.5120 0.7071
-3.2694 2.2166 4.4456
Fe Os Sr
1 1 2
Direct
0.0000 0.6701 0.3403
0.5000 0.5777 0.1553
0.0000 0.9842 0.9684
0.5000 0.2669 0.5337